Record 1
UMoP | PBE | optimized geometry

a = 3.3732 Å, b = 4.2881 Å, c = 4.2881 Å
α = 120.00°, β = 90.00°, γ = 90.00°
Sites, in units of the cell vectors:
U 0.6667 0.6667 0.3333
P 0.1666 0.0000 0.0000
Mo 0.1667 0.3333 0.6667

Properties
Raw total energy: -28.57 eV for the cell shown
ΔE_f: -347 meV/atom
Symmetry: P-6m2, No. 187



Record 2
Pu2MnTl3Te6 | PBE | optimized geometry

a = 7.5944 Å, b = 7.5944 Å, c = 8.4710 Å
α = 98.66°, β = 98.66°, γ = 119.94°
Each line ends with the local moment (μB).
Sites, in units of the cell vectors:
Te 0.0674 0.3822 0.2042  -0.11
Te 0.3822 0.0674 0.2042  -0.11
Te 0.7539 0.7539 0.2123  -0.10
Te 0.9326 0.6178 0.7958  -0.11
Te 0.6178 0.9326 0.7958  -0.11
Te 0.2461 0.2461 0.7877  -0.10
Pu 0.3347 0.6653 0.0000  5.16
Pu 0.6653 0.3347 0.0000  5.16
Tl 0.8252 0.1748 0.5000  -0.01
Tl 0.1748 0.8252 0.5000  -0.01
Tl 0.5000 0.5000 0.5000  -0.01
Mn 0.0000 0.0000 0.0000  4.02

Properties
Raw total energy: -70.72 eV for the cell shown
Symmetry: C2/m, No. 12
Formation energy without anion corrections: -0.58 eV/atom



Record 3
Y4AsRu | PBE | optimized geometry

a = 5.9916 Å, b = 5.9916 Å, c = 5.9916 Å
α = 60.00°, β = 60.00°, γ = 60.00°
Each line ends with the local moment (μB).
Sites, in units of the cell vectors:
Y 0.8780 0.3740 0.3740  0.13
Y 0.3740 0.3740 0.8780  0.13
Y 0.3740 0.8780 0.3740  0.13
Y 0.3740 0.3740 0.3740  0.13
Ru 0.0000 0.0000 0.0000  0.23
As 0.7500 0.7500 0.7500  -0.01

Properties
Raw total energy: -35.94 eV for the cell shown
ΔE_f: 640 meV/atom
Symmetry: F-43m, No. 216



Copy entry 1 word for word.
UMoP | PBE | optimized geometry

a = 3.3732 Å, b = 4.2881 Å, c = 4.2881 Å
α = 120.00°, β = 90.00°, γ = 90.00°
Sites, in units of the cell vectors:
U 0.6667 0.6667 0.3333
P 0.1666 0.0000 0.0000
Mo 0.1667 0.3333 0.6667

Properties
Raw total energy: -28.57 eV for the cell shown
ΔE_f: -347 meV/atom
Symmetry: P-6m2, No. 187



What is the formula in the third record? Y4AsRu



raw total energy of number 2 (Pu2MnTl3Te6)? -70.72 eV for the cell shown